# 1
AlGaCoO4 | PBE with a Hubbard U | optimized geometry

Output
final energy: -6.536 eV/atom

Unit cell a=5.826 b=5.826 c=8.168 alpha=90.00 beta=90.00 gamma=90.00
Space group P4_122 (No. 91)
Asymmetric unit:
Al 0.243 0.243 0.375 (multiplicity 4)
Ga 0.000 0.258 0.000 (multiplicity 4)
Co 0.259 0.500 0.750 (multiplicity 4)
O 0.007 0.239 0.757 (multiplicity 8)
O 0.238 0.500 0.004 (multiplicity 8)

---

# 2
AlGaCoO4 | PBE with a Hubbard U | optimized geometry

Output
final energy: -6.597 eV/atom

Unit cell a=5.833 b=5.833 c=8.220 alpha=90.00 beta=90.00 gamma=90.00
Space group P4_122 (No. 91)
Asymmetric unit:
Al 0.000 0.244 0.000 (multiplicity 4)
Ga 0.244 0.500 0.750 (multiplicity 4)
Co 0.250 0.250 0.375 (multiplicity 4)
O 0.021 0.241 0.767 (multiplicity 8)
O 0.241 0.469 0.992 (multiplicity 8)

---

Which value of final energy does entry 2 give?
-6.597 eV/atom